Entry 1:
## CaNi9Sn2 (PBE)

Data for an optimized crystal structure of CaNi9Sn2.

Cell lengths 4.9549, 4.9549, 23.5545 Å; angles 90.00, 90.00, 120.00 degrees
With the nearest neighbours (Å) after each atom.
Space group R-3m (No. 166, hexagonal axes)
Unique sites:
Ca: 0.0000 0.0000 0.0000 (multiplicity 3)  18 Ni 2.86-3.18
Ni: 0.0000 0.0000 0.3337 (multiplicity 6)  6 Ni 2.45-2.46
Ni: 0.0000 0.0000 0.5000 (multiplicity 3)  6 Ni 2.41
Ni: 0.0040 0.5020 0.9153 (multiplicity 18)  7 Ni 2.41-2.51
Sn: 0.0000 0.0000 0.1373 (multiplicity 6)  12 Ni 2.77-2.98

Results
Fermi-level density of states: 42.47 states/eV/cell
E_tot: -5.285 eV/atom
Energy relative to the elements: -115 meV/atom
Crystal system: trigonal


Entry 2:
## Li2AcNi2 (PBE)

Data for an optimized crystal structure of Li2AcNi2.

Cell lengths 10.3052, 4.0722, 5.0705 Å; angles 90.00, 104.29, 90.00 degrees
With the nearest neighbours (Å) after each atom.
Space group C2/m (No. 12)
Unique sites:
Li: 0.1713 0.0000 0.0775 (multiplicity 4)  4 Ni 2.54-2.68, 2 Li 2.83
Ac: 0.0000 0.5000 0.5000 (multiplicity 2)  6 Ni 3.00-3.03
Ni: 0.2242 0.0000 0.5939 (multiplicity 4)  2 Ni 2.36, 2 Li 2.54-2.64

Results
Fermi-level density of states: 7.19 states/eV/cell
E_tot: -3.967 eV/atom
Energy relative to the elements: -68 meV/atom
Crystal system: monoclinic


Entry 3:
## Sm4SiHgTe2 (PBE)

Data for an optimized crystal structure of Sm4SiHgTe2.

Cell lengths 7.5298, 4.3048, 7.7338 Å; angles 90.00, 108.10, 90.00 degrees
With the nearest neighbours (Å) after each atom.
Space group P2/m (No. 10)
Unique sites:
Sm: 0.2295 0.0000 0.2281 (multiplicity 2)  2 Si 2.97, 1 Hg 3.08, 3 Te 3.11-3.25
Sm: 0.2396 0.5000 0.7577 (multiplicity 2)  1 Si 2.98, 3 Te 3.10-3.20, 2 Hg 3.12
Si: 0.0000 0.5000 0.0000 (multiplicity 1)  6 Sm 2.97-2.98
Hg: 0.5000 0.0000 0.0000 (multiplicity 1)  6 Sm 3.08-3.12
Te: 0.0000 0.0000 0.5000 (multiplicity 1)  6 Sm 3.10-3.11
Te: 0.5000 0.5000 0.5000 (multiplicity 1)  6 Sm 3.20-3.25

Results
Fermi-level density of states: 5.03 states/eV/cell
E_tot: -4.847 eV/atom
Crystal system: monoclinic
Raw formation energy: -0.986 eV per atom


Entry 4:
## Tb6Y2Ho3Pu (PBE)

Data for an optimized crystal structure of Tb6Y2Ho3Pu.

Cell lengths 6.1350, 10.6270, 11.7013 Å; angles 90.00, 100.09, 90.00 degrees
With the nearest neighbours (Å) after each atom.
Space group C2/m (No. 12)
Unique sites:
Tb: 0.2461 0.0000 0.2505 (multiplicity 4)  6 Tb 3.50-3.56, 1 Pu 3.51, 3 Ho 3.53-3.55, 2 Y 3.53
Tb: 0.2481 0.1647 0.7495 (multiplicity 8)  6 Tb 3.50-3.56, 1 Pu 3.51, 3 Ho 3.53-3.55, 2 Y 3.53-3.54
Y: 0.0000 0.3334 0.5000 (multiplicity 4)  6 Tb 3.53-3.54, 3 Y 3.54, 3 Pu 3.54
Ho: 0.0000 0.1671 0.0000 (multiplicity 4)  6 Tb 3.53-3.55, 6 Ho 3.54-3.55
Ho: 0.0000 0.5000 0.0000 (multiplicity 2)  6 Tb 3.53-3.55, 6 Ho 3.54
Pu: 0.0000 0.0000 0.5000 (multiplicity 2)  6 Tb 3.51, 6 Y 3.54

Results
Fermi-level density of states: 48.18 states/eV/cell
E_tot: -5.685 eV/atom
Energy relative to the elements: 46 meV/atom
Crystal system: monoclinic


Entry 5:
## Ac5Te5Pb (PBE)

Data for an optimized crystal structure of Ac5Te5Pb.

Cell lengths 15.1037, 6.7300, 9.5406 Å; angles 90.00, 108.34, 90.00 degrees
With the nearest neighbours (Å) after each atom.
Space group C2/m (No. 12)
Unique sites:
Ac: 0.0000 0.0000 0.0000 (multiplicity 2)  2 Pb 3.36, 4 Te 3.40
Ac: 0.1611 0.5000 0.8281 (multiplicity 4)  5 Te 3.31-3.41, 1 Pb 3.33
Ac: 0.1632 0.5000 0.3327 (multiplicity 4)  5 Te 3.33-3.39, 1 Pb 3.35
Te: 0.0000 0.5000 0.5000 (multiplicity 2)  4 Ac 3.31-3.33
Te: 0.1686 0.0000 0.3346 (multiplicity 4)  5 Ac 3.37-3.40
Te: 0.1700 0.0000 0.8367 (multiplicity 4)  5 Ac 3.37-3.41
Pb: 0.0000 0.5000 0.0000 (multiplicity 2)  6 Ac 3.33-3.36

Results
Fermi-level density of states: 6.72 states/eV/cell
E_tot: -5.013 eV/atom
Crystal system: monoclinic
Raw formation energy: -1.380 eV per atom


Entry 6:
## VTc3Sn (PBE)

Data for an optimized crystal structure of VTc3Sn.

Cell lengths 4.5189, 4.5189, 4.5189 Å; angles 90.00, 90.00, 90.00 degrees
With the nearest neighbours (Å) after each atom.
Space group Pm-3m (No. 221)
Unique sites:
V: 0.0000 0.0000 0.0000 (multiplicity 1)  6 Tc 2.26
Tc: 0.0000 0.0000 0.5000 (multiplicity 3)  2 V 2.26
Sn: 0.5000 0.5000 0.5000 (multiplicity 1)  12 Tc 3.20

Results
Fermi-level density of states: 4.12 states/eV/cell
E_tot: -7.816 eV/atom
Energy relative to the elements: 1028 meV/atom
Crystal system: cubic


Entry 7:
## CeGd2Ge (PBE)

Data for an optimized crystal structure of CeGd2Ge.

Cell lengths 4.7522, 4.7522, 4.5381 Å; angles 90.00, 90.00, 90.00 degrees
With the nearest neighbours (Å) after each atom.
Space group P4/mmm (No. 123)
Unique sites:
Ce: 0.0000 0.0000 0.0000 (multiplicity 1)  8 Gd 3.29, 4 Ge 3.36
Gd: 0.0000 0.5000 0.5000 (multiplicity 2)  4 Ge 3.29, 4 Ce 3.29, 4 Gd 3.36
Ge: 0.5000 0.5000 0.0000 (multiplicity 1)  8 Gd 3.29, 4 Ce 3.36

Results
Fermi-level density of states: 8.06 states/eV/cell
E_tot: -10.016 eV/atom
Energy relative to the elements: -338 meV/atom
Crystal system: tetragonal


Entry 8:
## Zn2PRhPb (PBE)

Data for an optimized crystal structure of Zn2PRhPb.

Cell lengths 5.0126, 5.0126, 5.1242 Å; angles 90.00, 90.00, 90.00 degrees
With the nearest neighbours (Å) after each atom.
Space group P4/mmm (No. 123)
Unique sites:
Zn: 0.0000 0.5000 0.0000 (multiplicity 2)  2 Pb 2.51
P: 0.0000 0.0000 0.5000 (multiplicity 1)  4 Rh 3.54, 8 Zn 3.58
Rh: 0.5000 0.5000 0.5000 (multiplicity 1)  2 Pb 2.56
Pb: 0.5000 0.5000 0.0000 (multiplicity 1)  4 Zn 2.51, 2 Rh 2.56

Results
Fermi-level density of states: 4.50 states/eV/cell
E_tot: -2.541 eV/atom
Energy relative to the elements: 1263 meV/atom
Crystal system: tetragonal